# 1
Entry from Alexandria via LeMat-Bulk: Sr2TcW after structural relaxation (PBE-GGA).

a b c (Å): 5.3818 4.0503 4.0503
angles (deg): 90.00 90.00 90.00
Fractional positions:
W  0.5000  0.0000  0.5000
Sr  0.0000  0.0000  0.0000
Sr  0.0000  0.5000  0.5000
Tc  0.5000  0.5000  0.0000

Symmetry: P4/mmm (123)
Energy of formation from the pure elements in meV/atom: 1247
Total DFT energy (no corrections) in eV per atom: -5.423
Energy above the most stable polymorph in this dataset in eV per formula unit: 3.13
Volume in Å³/atom: 22.07

# 2
Entry from Alexandria via LeMat-Bulk: SrTc2W after structural relaxation (PBE-GGA).

a b c (Å): 9.2647 9.2647 9.2647
angles (deg): 19.44 19.44 19.44
Fractional positions:
Sr  0.7500  0.7500  0.7500
Tc  0.5149  0.5149  0.5149
Tc  0.9851  0.9851  0.9851
W  0.2500  0.2500  0.2500

Symmetry: R-3m (166)
Energy of formation from the pure elements in meV/atom: 731
Total DFT energy (no corrections) in eV per atom: -8.111
Energy above the most stable polymorph in this dataset in eV per formula unit: 1.01
Volume in Å³/atom: 19.25

# 3
Entry from Alexandria via LeMat-Bulk: Sr2TcW after structural relaxation (PBE-GGA).

a b c (Å): 6.3458 6.3458 6.3458
angles (deg): 146.55 127.34 63.84
Fractional positions:
W  0.3093  0.8093  0.5000
Sr  0.7244  0.2244  0.5000
Sr  0.0161  0.0161  0.0000
Tc  0.4501  0.4501  0.0000

Symmetry: Imm2 (44)
Energy of formation from the pure elements in meV/atom: 657
Total DFT energy (no corrections) in eV per atom: -6.014
Energy above the most stable polymorph in this dataset in eV per formula unit: 0.76
Volume in Å³/atom: 27.69

# 4
Entry from Alexandria via LeMat-Bulk: Sr3TcW after structural relaxation (PBE-GGA).

a b c (Å): 5.7669 5.7669 5.7669
angles (deg): 90.00 90.00 90.00
Each line ends with the local moment (μB).
Fractional positions:
Sr  0.0000  0.0000  0.5000  0.00
Sr  0.5000  0.0000  0.0000  0.01
Sr  0.0000  0.5000  0.0000  0.01
W  0.0000  0.0000  0.0000  0.75
Tc  0.5000  0.5000  0.5000  3.36

Symmetry: Pm-3m (221)
Energy of formation from the pure elements in meV/atom: 1807
Total DFT energy (no corrections) in eV per atom: -3.866
Energy above the most stable polymorph in this dataset in eV per formula unit: 1.07
Volume in Å³/atom: 38.36

# 5
Entry from Alexandria via LeMat-Bulk: SrTc2W after structural relaxation (PBE-GGA).

a b c (Å): 5.3416 5.3416 2.6602
angles (deg): 90.00 90.00 104.21
Fractional positions:
W  0.5000  0.0000  0.5000
Tc  0.5000  0.5000  0.0000
Sr  0.0000  0.5000  0.5000
Tc  0.0000  0.0000  0.0000

Symmetry: Cmmm (65)
Energy of formation from the pure elements in meV/atom: 1062
Total DFT energy (no corrections) in eV per atom: -7.780
Energy above the most stable polymorph in this dataset in eV per formula unit: 2.33
Volume in Å³/atom: 18.39

# 6
Entry from Alexandria via LeMat-Bulk: SrTc2W after structural relaxation (PBE-GGA).

a b c (Å): 5.8197 5.5064 2.7216
angles (deg): 79.13 83.65 120.07
Fractional positions:
Sr  0.5000  0.5000  0.0000
W  0.0000  0.5000  0.5000
Tc  0.0000  0.0000  0.0000
Tc  0.5000  0.0000  0.5000

Symmetry: C2/m (12)
Energy of formation from the pure elements in meV/atom: 987
Total DFT energy (no corrections) in eV per atom: -7.855
Energy above the most stable polymorph in this dataset in eV per formula unit: 2.03
Volume in Å³/atom: 17.98

# 7
Entry from Alexandria via LeMat-Bulk: SrTc2W after structural relaxation (PBE-GGA).

a b c (Å): 3.2683 3.2683 7.6577
angles (deg): 90.00 90.00 89.99
Fractional positions:
W  0.0000  0.0000  0.4176
Tc  0.0000  0.0000  0.0817
Tc  0.5000  0.5000  0.2461
Sr  0.5000  0.5000  0.7546

Symmetry: P4mm (99)
Energy of formation from the pure elements in meV/atom: 695
Total DFT energy (no corrections) in eV per atom: -8.147
Energy above the most stable polymorph in this dataset in eV per formula unit: 0.86
Volume in Å³/atom: 20.45

# 8
Entry from Alexandria via LeMat-Bulk: SrTc2W after structural relaxation (PBE-GGA).

a b c (Å): 2.8823 2.8823 9.4346
angles (deg): 90.00 90.00 110.82
Fractional positions:
Tc  0.0000  0.0000  0.4643
Tc  0.0000  0.0000  0.0357
W  0.5000  0.5000  0.2500
Sr  0.5000  0.5000  0.7500

Symmetry: Cmmm (65)
Energy of formation from the pure elements in meV/atom: 678
Total DFT energy (no corrections) in eV per atom: -8.163
Energy above the most stable polymorph in this dataset in eV per formula unit: 0.80
Volume in Å³/atom: 18.31

# 9
Entry from Alexandria via LeMat-Bulk: SrTc2W after structural relaxation (PBE-GGA).

a b c (Å): 4.4101 4.4101 6.5219
angles (deg): 81.04 81.04 41.85
Fractional positions:
Sr  0.7500  0.7500  0.7500
Tc  0.9778  0.9778  0.0802
W  0.2500  0.2500  0.2500
Tc  0.5222  0.5222  0.4198

Symmetry: C2/m (12)
Energy of formation from the pure elements in meV/atom: 685
Total DFT energy (no corrections) in eV per atom: -8.157
Energy above the most stable polymorph in this dataset in eV per formula unit: 0.82
Volume in Å³/atom: 20.86

# 10
Entry from Alexandria via LeMat-Bulk: SrTc2W after structural relaxation (PBE-GGA).

a b c (Å): 5.1611 5.1611 5.1611
angles (deg): 132.58 132.58 69.31
Fractional positions:
Sr  0.7500  0.2500  0.5000
W  0.5000  0.5000  0.0000
Tc  0.0000  0.0000  0.0000
Tc  0.2500  0.7500  0.5000

Symmetry: I-4m2 (119)
Energy of formation from the pure elements in meV/atom: 1318
Total DFT energy (no corrections) in eV per atom: -7.523
Energy above the most stable polymorph in this dataset in eV per formula unit: 3.36
Volume in Å³/atom: 18.28

# 11
Entry from Alexandria via LeMat-Bulk: SrTc2W after structural relaxation (PBE-GGA).

a b c (Å): 4.1510 2.9336 6.7966
angles (deg): 78.71 90.00 90.00
Fractional positions:
Tc  0.0000  0.4761  0.4240
W  0.5000  0.2500  0.2500
Sr  0.5000  0.7500  0.7500
Tc  0.0000  0.0239  0.0760

Symmetry: P2/m (10)
Energy of formation from the pure elements in meV/atom: 626
Total DFT energy (no corrections) in eV per atom: -8.215
Energy above the most stable polymorph in this dataset in eV per formula unit: 0.59
Volume in Å³/atom: 20.29

# 12
Entry from Alexandria via LeMat-Bulk: Sr2TcW after structural relaxation (PBE-GGA).

a b c (Å): 9.5592 9.5592 9.5592
angles (deg): 159.15 156.96 31.27
Fractional positions:
Sr  0.8990  0.8990  0.0000
Tc  0.7500  0.2500  0.5000
W  0.2500  0.7500  0.5000
Sr  0.6010  0.6010  0.0000

Symmetry: Immm (71)
Energy of formation from the pure elements in meV/atom: 660
Total DFT energy (no corrections) in eV per atom: -6.011
Energy above the most stable polymorph in this dataset in eV per formula unit: 0.78
Volume in Å³/atom: 30.40

# 13
Entry from Alexandria via LeMat-Bulk: SrTc2W2 after structural relaxation (PBE-GGA).

a b c (Å): 7.9918 7.9918 2.9008
angles (deg): 90.00 90.00 90.00
Fractional positions:
Tc  0.8546  0.6454  0.0000
Tc  0.6454  0.1454  0.0000
W  0.3606  0.1394  0.5000
W  0.6394  0.8606  0.5000
Sr  0.0000  0.0000  0.0000
W  0.8606  0.3606  0.5000
Tc  0.1454  0.3546  0.0000
Tc  0.3546  0.8546  0.0000
Sr  0.5000  0.5000  0.0000
W  0.1394  0.6394  0.5000

Symmetry: P4/mbm (127)
Energy of formation from the pure elements in meV/atom: 501
Total DFT energy (no corrections) in eV per atom: -9.163
Energy above the most stable polymorph in this dataset in eV per formula unit: 0.79
Volume in Å³/atom: 18.53

# 14
Entry from Alexandria via LeMat-Bulk: Sr2TcW after structural relaxation (PBE-GGA).

a b c (Å): 6.0956 6.0956 6.0956
angles (deg): 141.08 141.08 56.22
Fractional positions:
W  0.2500  0.7500  0.5000
Sr  0.5000  0.5000  0.0000
Tc  0.7500  0.2500  0.5000
Sr  0.0000  0.0000  0.0000

Symmetry: I4/mmm (139)
Energy of formation from the pure elements in meV/atom: 1246
Total DFT energy (no corrections) in eV per atom: -5.425
Energy above the most stable polymorph in this dataset in eV per formula unit: 3.12
Volume in Å³/atom: 22.17

# 15
Entry from Alexandria via LeMat-Bulk: Sr2TcW after structural relaxation (PBE-GGA).

a b c (Å): 5.2558 5.2558 5.2558
angles (deg): 60.00 60.00 60.00
Each line ends with the local moment (μB).
Fractional positions:
Sr  0.2500  0.2500  0.2500  0.06
Sr  0.7500  0.7500  0.7500  0.06
Tc  0.0000  0.0000  0.0000  0.45
W  0.5000  0.5000  0.5000  2.15

Symmetry: Fm-3m (225)
Energy of formation from the pure elements in meV/atom: 1687
Total DFT energy (no corrections) in eV per atom: -4.984
Energy above the most stable polymorph in this dataset in eV per formula unit: 4.88
Volume in Å³/atom: 25.66

# 16
Entry from Alexandria via LeMat-Bulk: SrTc2W after structural relaxation (PBE-GGA).

a b c (Å): 5.5838 5.5838 5.5838
angles (deg): 147.56 123.27 66.89
Fractional positions:
Sr  0.7500  0.2500  0.5000
W  0.2500  0.7500  0.5000
Tc  0.0336  0.0336  0.0000
Tc  0.4664  0.4664  0.0000

Symmetry: Immm (71)
Energy of formation from the pure elements in meV/atom: 891
Total DFT energy (no corrections) in eV per atom: -7.951
Energy above the most stable polymorph in this dataset in eV per formula unit: 1.65
Volume in Å³/atom: 19.28

# 17
Entry from Alexandria via LeMat-Bulk: SrTc2W after structural relaxation (PBE-GGA).

a b c (Å): 10.3499 10.3499 10.3499
angles (deg): 15.88 15.88 15.88
Fractional positions:
Sr  0.7479  0.7479  0.7479
Tc  0.9878  0.9878  0.9878
Tc  0.2531  0.2531  0.2531
W  0.5112  0.5112  0.5112

Symmetry: R3m (160)
Energy of formation from the pure elements in meV/atom: 849
Total DFT energy (no corrections) in eV per atom: -7.993
Energy above the most stable polymorph in this dataset in eV per formula unit: 1.48
Volume in Å³/atom: 18.09

# 18
Entry from Alexandria via LeMat-Bulk: Sr2TcW after structural relaxation (PBE-GGA).

a b c (Å): 5.8624 5.8624 2.8428
angles (deg): 90.00 90.00 90.00
Each line ends with the local moment (μB).
Fractional positions:
Sr  0.0000  0.0000  0.0000  0.01
Sr  0.5000  0.5000  0.0000  0.01
Tc  0.5000  0.0000  0.5000  -0.12
W  0.0000  0.5000  0.5000  0.19

Symmetry: P4/mmm (123)
Energy of formation from the pure elements in meV/atom: 1564
Total DFT energy (no corrections) in eV per atom: -5.107
Energy above the most stable polymorph in this dataset in eV per formula unit: 4.39
Volume in Å³/atom: 24.43

# 19
Entry from Alexandria via LeMat-Bulk: Sr4TcW after structural relaxation (PBE-GGA).

a b c (Å): 6.6507 6.6507 6.6507
angles (deg): 60.00 60.00 60.00
Each line ends with the local moment (μB).
Fractional positions:
Sr  0.3750  0.3750  0.3750  0.01
Tc  0.7500  0.7500  0.7500  2.90
Sr  0.8750  0.3750  0.3750  0.01
Sr  0.3750  0.8750  0.3750  0.01
W  0.0000  0.0000  0.0000  2.78
Sr  0.3750  0.3750  0.8750  0.01

Symmetry: F-43m (216)
Energy of formation from the pure elements in meV/atom: 1854
Total DFT energy (no corrections) in eV per atom: -3.154
Volume in Å³/atom: 34.67

# 20
Entry from Alexandria via LeMat-Bulk: SrTc2W after structural relaxation (PBE-GGA).

a b c (Å): 3.1856 4.7368 4.7368
angles (deg): 90.00 90.00 90.00
Fractional positions:
Tc  0.0000  0.5000  0.5000
W  0.5000  0.5000  0.0000
Tc  0.0000  0.0000  0.0000
Sr  0.5000  0.0000  0.5000

Symmetry: P4/mmm (123)
Energy of formation from the pure elements in meV/atom: 963
Total DFT energy (no corrections) in eV per atom: -7.879
Energy above the most stable polymorph in this dataset in eV per formula unit: 1.94
Volume in Å³/atom: 17.87